[1]
Pm2GdAu | PBE | optimized geometry

Properties
ΔE_f: 0.15 eV/atom
symmetry: R-3m, No. 166
ΔE to the lowest computed polymorph: 2.01 eV/f.u.

Cell lengths 3.5639, 3.5639, 11.7355 Å; angles 81.27, 81.27, 60.00 degrees
With the nearest neighbours (Å) after each atom.
Element x y z (fractional)
Pm1 0.9174 0.9174 0.2478  1 Au 2.86
Pm2 0.0826 0.0826 0.7522  1 Au 2.86
Au1 0.0000 0.0000 0.0000  2 Pm 2.86
Gd1 0.5000 0.5000 0.5000  6 Gd 3.56, 6 Pm 3.57

[2]
Ca3Y | PBE | optimized geometry

Properties
ΔE_f: 0.13 eV/atom
symmetry: Pm-3m, No. 221
ΔE to the lowest computed polymorph: 0.40 eV/f.u.

Cell lengths 5.3945, 5.3945, 5.3945 Å; angles 90.00, 90.00, 90.00 degrees
With the nearest neighbours (Å) after each atom.
Element x y z (fractional)
Ca1 0.5000 0.0000 0.5000  8 Ca 3.81, 4 Y 3.81
Ca2 0.0000 0.5000 0.5000  8 Ca 3.81, 4 Y 3.81
Ca3 0.5000 0.5000 0.0000  8 Ca 3.81, 4 Y 3.81
Y1 0.0000 0.0000 0.0000  12 Ca 3.81

[3]
Ba2In3Pb | PBE | optimized geometry

Properties
ΔE_f: -0.46 eV/atom
symmetry: Cm, No. 8

Cell lengths 5.1219, 6.7632, 7.0080 Å; angles 74.74, 68.57, 67.75 degrees
With the nearest neighbours (Å) after each atom.
Element x y z (fractional)
In1 0.8244 0.6132 0.7381  3 In 3.02-3.06
In2 0.8518 0.2201 0.0763  2 In 3.06-3.13, 2 Pb 3.13
In3 0.1582 0.7760 0.9075  3 In 3.02-3.13, 1 Pb 3.16
Ba1 0.4431 0.8013 0.3125  3 Pb 3.66, 8 In 3.70-4.09
Ba2 0.5561 0.1997 0.6880  8 In 3.62-3.97, 2 Pb 3.77
Pb1 0.1663 0.3898 0.2775  4 In 3.13-3.49

[4]
ZrZn2Mo | PBE | optimized geometry

Properties
ΔE_f: 0.04 eV/atom
symmetry: Cmm2, No. 35
ΔE to the lowest computed polymorph: 0.53 eV/f.u.

Cell lengths 2.8017, 2.8017, 8.7236 Å; angles 90.00, 90.00, 100.19 degrees
With the nearest neighbours (Å) after each atom.
Element x y z (fractional)
Zr1 0.0000 0.0000 0.4981  4 Zr 2.80, 2 Zn 2.95, 2 Mo 2.97
Mo1 0.5000 0.5000 0.7691  4 Zn 2.71-2.96, 4 Mo 2.80, 2 Zr 2.97
Zn1 0.0000 0.0000 0.0023  8 Zn 2.68-2.93, 4 Mo 2.71-2.96
Zn2 0.5000 0.5000 0.2305  8 Zn 2.68-2.93, 2 Zr 2.95

[5]
Y3BiC | PBE | optimized geometry

Properties
ΔE_f: -0.58 eV/atom
symmetry: Cmmm, No. 65
ΔE to the lowest computed polymorph: 0.00 eV/f.u.

Cell lengths 6.8730, 8.0801, 4.8867 Å; angles 90.00, 90.00, 64.85 degrees
With the nearest neighbours (Å) after each atom.
Element x y z (fractional)
Bi1 0.8243 0.5229 0.0344  11 Y 3.43-3.62
Bi2 0.5546 0.0619 0.0344  11 Y 3.43-3.62
Y1 0.1895 0.2924 0.5344  2 C 2.48
Y2 0.3193 0.5327 0.0344  2 C 2.44
Y3 0.9522 0.7922 0.5344  2 C 2.48
Y4 0.6894 0.2924 0.5344  2 C 2.48
Y5 0.0596 0.0521 0.0344  2 C 2.44
Y6 0.4266 0.7926 0.5344  2 C 2.48
C1 0.0618 0.0476 0.5344  6 Y 2.44-2.48
C2 0.3170 0.5372 0.5344  6 Y 2.44-2.48

[6]
SrCuSn2Pd | PBE | optimized geometry

Properties
ΔE_f: -0.50 eV/atom
symmetry: I-4m2, No. 119

Cell lengths 4.6558, 4.6558, 6.4205 Å; angles 111.26, 111.26, 90.00 degrees
With the nearest neighbours (Å) after each atom.
Element x y z (fractional)
Sn1 0.6334 0.6334 0.2668  2 Pd 2.66, 2 Cu 2.66, 1 Sn 2.94
Sn2 0.3666 0.3666 0.7332  2 Pd 2.66, 2 Cu 2.66, 1 Sn 2.94
Pd1 0.7500 0.2500 0.5000  4 Sn 2.66
Cu1 0.2500 0.7500 0.5000  4 Sn 2.66
Sr1 0.0000 0.0000 0.0000  8 Sn 3.61, 4 Pd 3.61, 4 Cu 3.61